## ErNpPd14 (PBE)

Data for a relaxed structure of ErNpPd14.

Unit cell a=5.786 b=5.786 c=7.849 alpha=90.00 beta=90.00 gamma=90.00
Site moments in Bohr magnetons follow the coordinates.
Element x y z (fractional)
Er1 0.875 0.875 0.500  0.02
Np1 0.375 0.375 0.500  2.96
Pd1 0.875 0.875 0.000  -0.04
Pd2 0.375 0.375 0.000  0.04
Pd3 0.875 0.375 0.500  -0.03
Pd4 0.875 0.375 0.000  -0.06
Pd5 0.375 0.875 0.500  -0.03
Pd6 0.375 0.875 0.000  -0.06
Pd7 0.623 0.127 0.246  -0.06
Pd8 0.623 0.127 0.754  -0.06
Pd9 0.127 0.623 0.246  -0.06
Pd10 0.127 0.623 0.754  -0.06
Pd11 0.623 0.623 0.246  -0.06
Pd12 0.623 0.623 0.754  -0.06
Pd13 0.127 0.127 0.246  -0.06
Pd14 0.127 0.127 0.754  -0.06

Total magnetic moment   2.46 Bohr magnetons per cell
Density   11.97 Mg/m³
Fermi-level density of states   1.65 states/eV/atom
Formation enthalpy at 0 K   -345.9 meV per atom
Symmetry   P4/mmm, No. 123